A plane-wave DFT calculation with PBE-GGA was carried out for Li3DyF6 after structural relaxation.

Cell lengths 8.3136, 3.4709, 8.7773 Å; angles 90.00, 116.73, 90.00 degrees
Last column: nearest neighbours and their distance in Å.
Space group P2_1/m (No. 11)
Symmetry-distinct sites (fractional):
Li 0.9997 0.2500 0.1741 x2  4 F 1.91-1.98
Li 0.1390 0.2500 0.6179 x2  3 F 1.89-1.91
Li 0.2862 0.7500 0.4128 x2  3 F 1.87-1.90
Dy 0.3519 0.2500 0.0917 x2  9 F 2.30-2.40
F 0.1042 0.2500 0.8168 x2  3 Li 1.89-1.96
F 0.1461 0.7500 0.5306 x2  3 Li 1.87-1.91
F 0.1588 0.7500 0.0646 x2  1 Li 1.91
F 0.2643 0.2500 0.3172 x2  3 Li 1.90-1.98
F 0.3798 0.7500 0.9251 x2  3 Dy 2.30-2.35, 2 F 2.52
F 0.4934 0.2500 0.7284 x2  2 Dy 2.31

Properties
DOS(E_F) in states/eV/f.u.: 0.00
ΔE_f (raw) in eV/atom: -3.375
Total moment in Bohr magnetons per cell: 0.18
E_tot in eV/cell: -110.6